Record 1
## Dy12Er6Th (PBE-GGA)

Data for a relaxed structure of Dy12Er6Th.

Unit cell a=8.6739 b=8.6739 c=8.6739 alpha=99.99 beta=99.99 gamma=99.99
Fractional positions:
Dy 0.7563 0.2437 0.5000
Dy 0.3461 0.0760 0.3461
Dy 0.3461 0.3461 0.0760
Dy 0.9240 0.6539 0.6539
Dy 0.6539 0.6539 0.9240
Dy 0.6539 0.9240 0.6539
Dy 0.5000 0.7563 0.2437
Dy 0.2437 0.5000 0.7563
Dy 0.2437 0.7563 0.5000
Dy 0.5000 0.2437 0.7563
Dy 0.7563 0.5000 0.2437
Dy 0.0760 0.3461 0.3461
Er 0.8940 0.3340 0.8940
Er 0.8940 0.8940 0.3340
Er 0.3340 0.8940 0.8940
Er 0.1060 0.1060 0.6660
Er 0.1060 0.6660 0.1060
Er 0.6660 0.1060 0.1060
Th 0.0000 0.0000 0.0000

Results
Symmetry   No. 166
Energy relative to the lowest polymorph listed for this composition   73 meV/atom
DOS(E_F)   1.889 states/eV per atom

---

Record 2
## DyEr2Th (PBE-GGA)

Data for a relaxed structure of DyEr2Th.

Unit cell a=3.5447 b=3.5447 c=11.6839 alpha=81.28 beta=81.28 gamma=60.00
Fractional positions:
Dy 0.6664 0.6664 0.0008
Er 0.0825 0.0825 0.7526
Er 0.2505 0.2505 0.2484
Th 0.5006 0.5006 0.4982

Results
Symmetry   No. 160
Energy relative to the lowest polymorph listed for this composition   42 meV/atom
DOS(E_F)   1.337 states/eV per atom

---

Record 3
## Dy5Er12Th2 (PBE-GGA)

Data for a relaxed structure of Dy5Er12Th2.

Unit cell a=9.3094 b=12.2286 c=8.4504 alpha=132.30 beta=90.00 gamma=112.37
Fractional positions:
Dy 0.3036 0.6073 0.6210
Dy 0.2322 0.4644 0.8898
Dy 0.0000 0.0000 0.5000
Dy 0.7678 0.5356 0.1102
Dy 0.6964 0.3927 0.3790
Er 0.0862 0.1723 0.2898
Er 0.0262 0.6940 0.9371
Er 0.6678 0.6940 0.9371
Er 0.1809 0.7452 0.4031
Er 0.5643 0.7452 0.4031
Er 0.5570 0.1141 0.7877
Er 0.4430 0.8859 0.2123
Er 0.8191 0.2548 0.5969
Er 0.4357 0.2548 0.5969
Er 0.9738 0.3060 0.0629
Er 0.3322 0.3060 0.0629
Er 0.9138 0.8277 0.7102
Th 0.6789 0.0000 0.0000
Th 0.3211 0.0000 0.0000

Results
Symmetry   No. 12
Energy relative to the lowest polymorph listed for this composition   26 meV/atom
DOS(E_F)   1.470 states/eV per atom

---

Record 4
## Dy8Er3Th4 (PBE-GGA)

Data for a relaxed structure of Dy8Er3Th4.

Unit cell a=6.7083 b=9.2328 c=9.2328 alpha=88.20 beta=111.11 gamma=111.11
Fractional positions:
Dy 0.5130 0.2595 0.2595
Dy 0.0000 0.6430 0.3570
Dy 0.9998 0.2645 0.2645
Dy 0.5000 0.7447 0.2553
Dy 0.5000 0.2553 0.7447
Dy 0.0002 0.7355 0.7355
Dy 0.0000 0.3570 0.6430
Dy 0.4870 0.7405 0.7405
Er 0.5000 0.5000 0.0000
Er 0.5000 0.0000 0.5000
Er 0.5000 0.5000 0.5000
Th 0.5000 0.0000 0.0000
Th 0.0000 0.5000 0.0000
Th 0.0000 0.0000 0.0000
Th 0.0000 0.0000 0.5000

Results
Symmetry   No. 12
DOS(E_F)   1.898 states/eV per atom

---

Record 5
## Dy4Er2Th (PBE-GGA)

Data for a relaxed structure of Dy4Er2Th.

Unit cell a=3.5775 b=3.5755 c=20.0473 alpha=95.15 beta=90.00 gamma=120.02
Fractional positions:
Er 0.6202 0.2405 0.0963
Er 0.7143 0.4285 0.3791
Th 0.8085 0.6170 0.6670
Dy 0.9062 0.8124 0.9552
Dy 0.4276 0.8552 0.5214
Dy 0.0012 0.0025 0.2370
Dy 0.5234 0.0468 0.8119

Results
Symmetry   No. 8
Energy relative to the lowest polymorph listed for this composition   0 meV/atom
DOS(E_F)   1.718 states/eV per atom

---

Record 6
## Dy7Er2Th3 (PBE-GGA)

Data for a relaxed structure of Dy7Er2Th3.

Unit cell a=5.4925 b=6.0881 c=12.0876 alpha=91.49 beta=90.00 gamma=90.00
Fractional positions:
Dy 0.5000 0.2389 0.4548
Dy 0.5000 0.7611 0.5452
Dy 0.0000 0.4396 0.1825
Dy 0.0000 0.0000 0.0000
Dy 0.0000 0.5604 0.8175
Dy 0.5000 0.9205 0.8275
Dy 0.5000 0.0795 0.1725
Er 0.5000 0.6083 0.2770
Er 0.5000 0.3917 0.7230
Th 0.5000 0.5000 0.0000
Th 0.0000 0.9352 0.3547
Th 0.0000 0.0648 0.6453

Results
Symmetry   No. 10
DOS(E_F)   1.608 states/eV per atom

---

Record 7
## DyEr5Th5 (PBE-GGA)

Data for a relaxed structure of DyEr5Th5.

Unit cell a=6.2822 b=6.2822 c=11.1190 alpha=90.00 beta=90.00 gamma=120.00
Fractional positions:
Dy 0.3333 0.6667 0.0000
Er 0.6667 0.3333 0.1813
Er 0.6667 0.3333 0.8187
Er 0.3333 0.6667 0.3277
Er 0.3333 0.6667 0.6723
Er 0.0000 0.0000 0.0000
Th 0.3466 0.1733 0.5000
Th 0.0000 0.0000 0.2684
Th 0.8267 0.6534 0.5000
Th 0.8267 0.1733 0.5000
Th 0.0000 0.0000 0.7316

Results
Symmetry   No. 187
DOS(E_F)   1.615 states/eV per atom

---

Record 8
## Dy5Er6Th2 (PBE-GGA)

Data for a relaxed structure of Dy5Er6Th2.

Unit cell a=3.5370 b=11.4390 c=20.5066 alpha=90.00 beta=90.00 gamma=90.00
Fractional positions:
Dy 0.5000 0.3081 0.4248
Dy 0.5000 0.6919 0.5752
Dy 0.5000 0.8081 0.0752
Dy 0.5000 0.1919 0.9248
Dy 0.5000 0.5709 0.2920
Dy 0.5000 0.4291 0.7080
Dy 0.5000 0.0709 0.2080
Dy 0.5000 0.9291 0.7920
Dy 0.5000 0.5000 0.0000
Dy 0.5000 0.0000 0.5000
Er 0.0000 0.0645 0.3538
Er 0.0000 0.9355 0.6462
Er 0.0000 0.5645 0.1462
Er 0.0000 0.4355 0.8538
Er 0.5000 0.3145 0.1226
Er 0.5000 0.6855 0.8774
Er 0.5000 0.8145 0.3774
Er 0.5000 0.1855 0.6226
Er 0.0000 0.5768 0.4358
Er 0.0000 0.4232 0.5642
Er 0.0000 0.0768 0.0642
Er 0.0000 0.9232 0.9358
Th 0.0000 0.3146 0.2659
Th 0.0000 0.6854 0.7341
Th 0.0000 0.8146 0.2341
Th 0.0000 0.1854 0.7659

Results
Symmetry   No. 55
DOS(E_F)   1.447 states/eV per atom

---

Number 1: E_form 218 meV/atom. Number 2: E_form 34 meV/atom. Number 3: E_form 149 meV/atom. Number 4: E_form 428 meV/atom. Number 5: E_form 22 meV/atom. Number 6: E_form 342 meV/atom. Number 7: E_form 389 meV/atom. Number 8: E_form 109 meV/atom.